1.
The following is a GGA-PBE calculation of a relaxed PuUV crystal, from the Alexandria database.

abc: 5.3347 5.3347 5.3347
angles: 142.65 142.65 53.85
Last column: nearest neighbours and their distance in Å.
Fractional coordinates of all 3 atoms:
Pu1 0.0000 0.0000 0.0000  4 U 2.84, 5 V 2.97-3.03
U1 0.3435 0.3435 0.0000  4 Pu 2.84, 4 V 2.87
V1 0.6812 0.6812 0.0000  4 U 2.87, 5 Pu 2.97-3.03

Offset from the most stable computed form = 0.00 eV per formula unit
E_tot = -0.837 Ry/atom
Energy of formation = 0.194 eV/atom

=====

2.
The following is a GGA-PBE calculation of a relaxed ThMnZn crystal, from the Alexandria database.

abc: 4.4711 4.4711 3.7234
angles: 90.00 90.00 120.00
Last column: nearest neighbours and their distance in Å.
Fractional coordinates of all 3 atoms:
Th1 0.0000 0.0000 0.0000  6 Mn 3.18, 6 Zn 3.18
Mn1 0.3333 0.6667 0.5000  3 Zn 2.58
Zn1 0.6667 0.3333 0.5000  3 Mn 2.58

E_tot = -0.436 Ry/atom
Energy of formation = 0.016 eV/atom

=====

3.
The following is a GGA-PBE calculation of a relaxed Y2Cd2In crystal, from the Alexandria database.

abc: 9.6008 9.6008 9.6008
angles: 156.36 156.36 33.68
Last column: nearest neighbours and their distance in Å.
Fractional coordinates of all 5 atoms:
Y1 0.0992 0.0992 0.0000  4 In 3.33, 4 Cd 3.40, 1 Y 3.65
Y2 0.9008 0.9008 0.0000  4 In 3.33, 4 Cd 3.40, 1 Y 3.65
Cd1 0.2500 0.7500 0.5000  4 Cd 2.78
Cd2 0.7500 0.2500 0.5000  4 Cd 2.78
In1 0.5000 0.5000 0.0000  8 Y 3.33

E_tot = -0.265 Ry/atom
Energy of formation = -0.102 eV/atom

=====

4.
The following is a GGA-PBE calculation of a relaxed TbCeScZn crystal, from the Alexandria database.

abc: 5.2290 5.2290 5.2290
angles: 60.00 60.00 60.00
Last column: nearest neighbours and their distance in Å.
Fractional coordinates of all 4 atoms:
Tb1 0.0000 0.0000 0.0000  4 Sc 3.20, 4 Zn 3.20
Ce1 0.5000 0.5000 0.5000  4 Sc 3.20, 4 Zn 3.20
Sc1 0.7500 0.7500 0.7500  4 Ce 3.20, 4 Tb 3.20
Zn1 0.2500 0.2500 0.2500  4 Ce 3.20, 4 Tb 3.20

E_tot = -0.333 Ry/atom
Energy of formation = 0.014 eV/atom